(1)
Here is LaPt2Cl after structural relaxation from Alexandria. Energies are from PBE-GGA.

Properties
Density of states at the Fermi level   10.35 states/eV per cell
Uncorrected formation energy   -1.496 eV per formula unit
Calculated total energy   -0.187 Ha/atom
Magnetization   0.00 μB/f.u.
Relative energy among the computed polymorphs   0.718 eV/atom
Mass density   10.58 Mg/m³

Cell: 4.7178 4.7178 13.7841 Å, 90.00 90.00 120.00°
Space group R-3m (No. 166, hexagonal axes)
Inequivalent atoms, fractional coordinates:
La (0.0000, 0.0000, 0.0000) [3 per cell]
Pt (0.0000, 0.0000, 0.2131) [6 per cell]
Cl (0.0000, 0.0000, 0.5000) [3 per cell]

(2)
Here is LaPtCl2 after structural relaxation from Alexandria. Energies are from PBE-GGA.

Properties
Density of states at the Fermi level   2.68 states/eV per cell
Uncorrected formation energy   -5.019 eV per formula unit
Calculated total energy   -0.181 Ha/atom
Magnetization   0.00 μB/f.u.
Relative energy among the computed polymorphs   0.010 eV/atom
Mass density   5.67 Mg/m³

Cell: 13.1428 3.9114 4.6149 Å, 90.00 92.09 90.00°
Space group C2/m (No. 12)
Inequivalent atoms, fractional coordinates:
La (0.0000, 0.0000, 0.0000) [2 per cell]
Pt (0.0000, 0.5000, 0.5000) [2 per cell]
Cl (0.1526, 0.5000, 0.7711) [4 per cell]